A plane-wave DFT calculation with PBE-GGA was carried out for crystalline LiCeZn at its relaxed geometry.

Values from the calculation:
Symmetry ... R-3m, No. 166
Total moment ... 0.00 μB per formula unit
Mass density ... 5.4 g cm⁻³
Uncorrected energy ... -3.06 eV per atom
Energy above the most stable polymorph in this dataset ... 21 kJ/mol of formula units
E_form ... -7 kJ/mol of formula units

abc: 4.780 4.780 7.182
angles: 70.57 70.57 60.00
Atoms (fractional coordinates):
Li  0.298  0.298  0.105
Li  0.702  0.702  0.895
Zn  0.429  0.429  0.712
Zn  0.571  0.571  0.288
Ce  0.863  0.863  0.412
Ce  0.137  0.137  0.588